Entry from the Alexandria database: a relaxed Dy12Tl5Cd2 crystal (PBE).

Cell and atoms, written as POSCAR:
```
Dy12Tl5Cd2
1.0
7.332 0.000 0.000
-3.666 8.335 1.849
0.000 -0.773 9.123
Dy Tl Cd
12 5 2
direct
0.600 0.678 0.911
0.106 0.701 0.502
0.405 0.299 0.498
0.959 0.917 0.191
0.894 0.299 0.498
0.078 0.678 0.911
0.509 0.019 0.312
0.491 0.981 0.688
0.922 0.322 0.089
0.041 0.083 0.809
0.595 0.701 0.502
0.400 0.322 0.089
0.230 0.459 0.747
0.000 0.000 0.500
0.693 0.387 0.771
0.307 0.613 0.229
0.770 0.541 0.253
0.680 0.000 0.000
0.320 0.000 0.000
```

## Properties
Energy of formation = -0.0934 eV/atom
Total magnetization = 0.00 μB/cell
Raw total energy = -3.72 eV per atom
Space group = C2/m, No. 12